<P>
Entry from Alexandria: a relaxed structure of BeAgSb2Te (GGA-PBE).

Lattice parameters (Å, degrees): 4.8855 4.8855 5.1703 90.00 90.00 90.00
Last column: nearest neighbours and their distance in Å.
Space group P4/mmm (No. 123)
Symmetry-distinct sites (fractional):
Be1 0.0000 0.0000 0.0000  4 Sb 2.44, 2 Te 2.59
Ag1 0.5000 0.5000 0.5000  4 Te 3.45, 8 Sb 3.56
Sb1 0.0000 0.5000 0.0000  2 Be 2.44
Te1 0.0000 0.0000 0.5000  2 Be 2.59

Summary:
N(E_F) in states/eV/f.u.: 3.44
Volume in Å³ per atom: 24.7



<Q>
Entry from Alexandria: a relaxed structure of BeAgSb2Te (GGA-PBE).

Lattice parameters (Å, degrees): 5.3383 5.3383 5.4556 90.00 90.00 90.00
Last column: nearest neighbours and their distance in Å.
Space group P4/mmm (No. 123)
Symmetry-distinct sites (fractional):
Be1 0.0000 0.0000 0.0000  4 Te 3.77, 8 Sb 3.82
Ag1 0.5000 0.5000 0.5000  4 Sb 2.67, 2 Te 2.73
Sb1 0.0000 0.5000 0.5000  2 Ag 2.67
Te1 0.5000 0.5000 0.0000  2 Ag 2.73

Summary:
N(E_F) in states/eV/f.u.: 5.35
Volume in Å³ per atom: 31.1



Stability comparison, relative energies in meV/atom: <P> 0; <Q> 617